Entry 1:
TaGaMo3 PBE relaxed; total moment = 0.0 μB per formula unit; energy relative to the lowest polymorph listed for this composition = 0.428 eV per atom; formation energy from the elements = 1.82 eV per atom
1.0
-0.569 1.674 -4.434
3.102 -3.245 -1.623
-3.584 -3.074 -0.701
Mo Ta Ga
3 1 1
Direct
0.500 0.000 0.000
0.000 0.500 0.000
0.000 0.000 0.500
0.000 0.000 0.000
0.500 0.500 0.500

=====

Entry 2:
TmHf2Pd9 PBE relaxed; total moment = 0.0 μB per formula unit; formation energy from the elements = -0.92 eV per atom
1.0
4.035 0.000 0.000
0.000 4.035 0.000
0.000 0.000 12.122
Pd Tm Hf
9 1 2
Direct
0.500 0.500 0.663
0.000 0.500 0.174
0.500 0.500 0.000
0.500 0.500 0.337
0.500 0.000 0.174
0.500 0.000 0.826
0.500 0.000 0.500
0.000 0.500 0.500
0.000 0.500 0.826
0.000 0.000 0.000
0.000 0.000 0.333
0.000 0.000 0.667

=====

Entry 3:
PuMgCdAu PBE relaxed; total moment = 5.7 μB per formula unit; energy relative to the lowest polymorph listed for this composition = 0.060 eV per atom; formation energy from the elements = -0.24 eV per atom
1.0
-0.502 -2.481 -4.386
3.146 -3.803 -1.132
-1.701 -4.769 -0.030
Au Pu Cd Mg
1 1 1 1
Direct
0.250 0.250 0.250
0.500 0.500 0.500
0.750 0.750 0.750
0.000 0.000 0.000

=====

Entry 4:
SrTl2Zn PBE relaxed; total moment = 0.0 μB per formula unit; formation energy from the elements = -0.12 eV per atom
1.0
3.846 0.109 0.000
-0.115 3.846 0.000
0.000 0.000 7.608
Tl Zn Sr
2 1 1
Direct
0.000 0.000 0.046
0.000 0.000 0.454
0.500 0.500 0.250
0.500 0.500 0.750

=====

Entry 5:
NbZnW3 PBE relaxed; total moment = 0.0 μB per formula unit; energy relative to the lowest polymorph listed for this composition = 0.000 eV per atom; formation energy from the elements = 1.78 eV per atom
1.0
-3.515 2.835 0.491
-0.205 -1.019 4.421
2.869 3.399 0.917
W Zn Nb
3 1 1
Direct
0.000 0.500 0.000
0.000 0.000 0.500
0.500 0.000 0.000
0.000 0.000 0.000
0.500 0.500 0.500

=====

Entry 6:
KHg3Pd PBE relaxed; total moment = 0.0 μB per formula unit; energy relative to the lowest polymorph listed for this composition = 0.000 eV per atom; formation energy from the elements = -0.24 eV per atom
1.0
-0.737 -5.074 1.593
5.315 -0.640 0.421
-0.208 1.635 5.110
Pd Hg K
1 3 1
Direct
0.000 0.000 0.000
0.000 0.000 0.500
0.500 0.000 0.000
0.000 0.500 0.000
0.500 0.500 0.500

=====

Entry 7:
GdHS2 PBE relaxed; total moment = 7.0 μB per formula unit; DFT total energy = -7.706 eV per atom
1.0
-4.059 0.766 -0.455
-2.647 -0.937 3.063
-1.454 5.492 3.241
S H Gd
2 1 1
Direct
0.089 0.089 0.732
0.911 0.911 0.268
0.000 0.000 0.000
0.500 0.500 0.500

=====

Entry 8:
Be2V4C PBE relaxed; total moment = 0.0 μB per formula unit; formation energy from the elements = 0.17 eV per atom
1.0
-1.121 -0.862 3.487
-1.972 -2.905 -1.352
3.407 -5.564 1.750
V Be C
4 2 1
Direct
0.000 0.500 0.000
0.166 0.166 0.669
0.834 0.834 0.331
0.500 0.000 0.000
0.635 0.635 0.731
0.365 0.365 0.269
0.000 0.000 0.000

=====

Entry 9:
Ho3TmCd PBE relaxed; total moment = 0.0 μB per formula unit; energy relative to the lowest polymorph listed for this composition = 0.000 eV per atom; formation energy from the elements = -0.11 eV per atom
1.0
3.608 0.000 0.000
1.803 6.382 0.532
-0.002 -0.100 12.564
Tm Ho Cd
2 6 2
Direct
0.767 0.465 0.244
0.233 0.535 0.756
0.634 0.731 0.979
0.035 0.930 0.190
0.366 0.269 0.021
0.146 0.708 0.444
0.965 0.070 0.810
0.854 0.292 0.556
0.562 0.875 0.628
0.438 0.125 0.372

=====

Entry 10:
Rb2SrBeF6 PBE relaxed; total moment = 0.0 μB per formula unit; formation energy from raw total energies = -301.7 kJ/mol of atoms
1.0
5.994 0.000 0.000
0.000 5.994 0.000
2.997 2.997 4.243
Sr F Rb Be
1 6 2 1
Direct
0.000 0.000 0.000
0.716 0.716 0.569
0.284 0.284 0.431
0.285 0.715 0.000
0.715 0.715 0.000
0.285 0.285 0.000
0.715 0.285 0.000
0.250 0.750 0.500
0.750 0.250 0.500
0.500 0.500 0.000

=====

Entry 11:
LiDyPbS3 PBE relaxed; total moment = 0.0 μB per formula unit; formation energy from raw total energies = -129.6 kJ/mol of atoms
1.0
-2.564 -2.350 1.951
5.020 0.037 6.641
-5.067 6.772 1.500
Dy S Li Pb
2 6 2 2
Direct
0.250 0.668 0.168
0.750 0.332 0.832
0.750 0.436 0.163
0.250 0.117 0.869
0.250 0.564 0.837
0.250 0.790 0.487
0.750 0.210 0.513
0.750 0.883 0.131
0.250 0.084 0.586
0.750 0.916 0.414
0.250 0.187 0.232
0.750 0.813 0.768

=====

Entry 12:
AgTeBr6 PBE relaxed; total moment = 0.0 μB per formula unit; energy relative to the lowest polymorph listed for this composition = 0.000 eV per atom; formation energy from raw total energies = -24.2 kJ/mol of atoms
1.0
-6.515 2.700 -0.145
1.755 0.451 6.873
1.115 6.911 1.233
Te Br Ag
1 6 1
Direct
0.000 0.021 0.021
0.797 0.980 0.736
0.667 0.733 0.308
0.797 0.306 0.061
0.333 0.308 0.733
0.203 0.061 0.306
0.203 0.736 0.980
0.500 0.021 0.021

=====

Entry 13:
NaLaIr2I PBE relaxed; total moment = 0.0 μB per formula unit; formation energy from raw total energies = 66.4 kJ/mol of atoms
1.0
5.095 0.000 0.000
0.000 4.989 0.000
0.000 0.000 5.095
Ir La I Na
2 1 1 1
Direct
0.000 0.000 0.500
0.500 0.000 0.000
0.500 0.500 0.500
0.000 0.000 0.000
0.000 0.500 0.000

=====

Entry 14:
BaTcRh2 PBE relaxed; total moment = 0.0 μB per formula unit; energy relative to the lowest polymorph listed for this composition = 0.457 eV per atom; formation energy from the elements = 0.62 eV per atom
1.0
5.988 -0.009 0.001
3.142 5.097 -0.001
-3.872 -3.788 2.553
Rh Ba Tc
2 1 1
Direct
0.737 0.237 0.500
0.974 0.974 0.000
0.255 0.755 0.500
0.534 0.534 0.000

=====

Entry 15:
Pm3AgPd PBE relaxed; total moment = 0.0 μB per formula unit; energy relative to the lowest polymorph listed for this composition = 0.006 eV per atom; formation energy from the elements = -0.36 eV per atom
1.0
-4.123 -1.257 -6.368
6.511 -4.049 -3.416
-5.038 -6.259 4.497
Pm Pd Ag
12 4 4
Direct
0.505 0.284 0.428
0.849 0.380 0.195
0.495 0.716 0.572
0.349 0.120 0.805
0.824 0.992 0.858
0.676 0.492 0.858
0.651 0.880 0.195
0.176 0.008 0.142
0.324 0.508 0.142
0.151 0.620 0.805
0.995 0.784 0.428
0.005 0.216 0.572
0.461 0.822 0.913
0.539 0.178 0.087
0.961 0.678 0.087
0.039 0.322 0.913
0.173 0.465 0.437
0.673 0.035 0.563
0.327 0.965 0.437
0.827 0.535 0.563

=====

Entry 16:
Cs4CdF5 PBE relaxed; total moment = 1.0 μB per formula unit; formation energy from raw total energies = -224.3 kJ/mol of atoms
1.0
6.191 0.000 0.000
3.095 6.555 0.000
3.095 0.000 6.555
Cs F Cd
4 5 1
Direct
0.616 0.606 0.194
0.810 0.806 0.606
0.416 0.394 0.806
0.222 0.194 0.394
0.371 0.000 0.000
0.295 0.811 0.633
0.105 0.633 0.189
0.738 0.189 0.367
0.927 0.367 0.811
0.009 0.000 0.000

=====

Entry 17:
Tb6PO12 PBE relaxed; total moment = 1.1 μB per formula unit; formation energy from raw total energies = -301.4 kJ/mol of atoms
1.0
-2.457 5.006 -3.172
-0.732 -4.481 -4.532
-5.087 -1.445 3.632
O Tb P
12 6 1
Direct
0.272 0.066 0.976
0.066 0.976 0.272
0.728 0.934 0.024
0.024 0.728 0.934
0.177 0.440 0.596
0.596 0.177 0.440
0.440 0.596 0.177
0.823 0.560 0.404
0.560 0.404 0.823
0.404 0.823 0.560
0.934 0.024 0.728
0.976 0.272 0.066
0.607 0.303 0.142
0.858 0.393 0.697
0.142 0.607 0.303
0.393 0.697 0.858
0.303 0.142 0.607
0.697 0.858 0.393
0.000 0.000 0.000

=====

Entry 18:
SbPb2Au3 PBE relaxed; total moment = 0.0 μB per formula unit; formation energy from raw total energies = -1.7 kJ/mol of atoms
1.0
-0.173 -2.800 -5.369
-0.530 -4.756 3.714
-8.058 4.594 0.673
Pb Sb Au
4 2 6
Direct
0.775 0.775 0.000
0.250 0.750 0.500
0.750 0.250 0.500
0.225 0.225 0.000
0.345 0.345 0.689
0.655 0.655 0.311
0.320 0.845 0.165
0.182 0.182 0.365
0.155 0.680 0.835
0.818 0.818 0.635
0.845 0.320 0.165
0.680 0.155 0.835

=====

Entry 19:
LaPmHoTe3 PBE relaxed; total moment = 0.0 μB per formula unit; formation energy from raw total energies = -125.5 kJ/mol of atoms
1.0
-0.111 -4.342 -0.685
7.874 0.360 -3.556
1.721 -1.712 10.575
Te Pm Ho La
6 2 2 2
Direct
0.250 0.514 0.788
0.750 0.220 0.454
0.750 0.919 0.112
0.250 0.081 0.888
0.750 0.486 0.212
0.250 0.780 0.546
0.750 0.336 0.910
0.250 0.664 0.090
0.250 0.154 0.621
0.750 0.846 0.379
0.750 0.808 0.781
0.250 0.192 0.219

=====

Entry 20:
MoAsBr2 PBE relaxed; total moment = 2.5 μB per formula unit; energy relative to the lowest polymorph listed for this composition = 0.379 eV per atom; formation energy from raw total energies = 19.7 kJ/mol of atoms
1.0
-3.289 1.225 -0.479
-1.095 -3.266 -0.831
-1.638 -1.400 7.665
Mo Br As
1 2 1
Direct
0.000 0.000 0.573
0.500 0.500 0.332
0.000 0.000 0.909
0.500 0.500 0.687

=====

Entry 21:
SrTlBPb PBE relaxed; total moment = 0.0 μB per formula unit; energy relative to the lowest polymorph listed for this composition = 0.037 eV per atom; formation energy from the elements = 0.29 eV per atom
1.0
-2.713 -2.278 2.361
3.816 -1.602 -0.999
2.703 2.812 5.819
B Tl Pb Sr
1 1 1 1
Direct
0.000 0.000 0.831
0.667 0.333 0.884
0.000 0.000 0.186
0.333 0.667 0.566

=====

Entry 22:
SrSmEuGd PBE relaxed; total moment = 14.7 μB per formula unit; formation energy from the elements = 0.19 eV per atom
1.0
6.033 0.000 0.000
3.016 5.225 0.000
3.016 1.742 4.926
Eu Sr Sm Gd
1 1 1 1
Direct
0.500 0.500 0.500
0.750 0.750 0.750
0.000 0.000 0.000
0.250 0.250 0.250

=====

Entry 23:
La4RuBr2O PBE relaxed; total moment = 0.0 μB per formula unit; formation energy from raw total energies = -140.0 kJ/mol of atoms
1.0
-1.124 3.754 -0.536
-4.625 -0.668 5.018
6.912 2.570 3.503
O Br Ru La
1 2 1 4
Direct
0.000 0.000 0.000
0.500 0.000 0.500
0.000 0.500 0.500
0.500 0.500 0.000
0.500 0.213 0.187
0.500 0.787 0.813
0.000 0.246 0.806
0.000 0.754 0.194

=====

Entry 24:
TiNb4C4 PBE relaxed; total moment = 0.0 μB per formula unit; formation energy from the elements = -0.59 eV per atom
1.0
4.176 0.000 1.674
2.052 4.990 0.927
0.231 -0.096 5.469
C Ti Nb
4 1 4
Direct
0.705 0.197 0.392
0.903 0.392 0.802
0.295 0.803 0.608
0.097 0.608 0.198
0.000 0.000 0.000
0.386 0.428 0.800
0.614 0.572 0.200
0.186 0.200 0.428
0.814 0.800 0.572